(1)
HgTePb4: optimized geometry, GGA-PBE.

Cell and atoms, written as extended XYZ:
```
6
Lattice="0.000 4.614 4.614 4.614 0.000 4.614 4.614 4.614 0.000" Properties=species:S:1:pos:R:3 pbc="T T T"
Hg 0.000 0.000 0.000
Te 2.307 2.307 2.307
Pb 5.771 3.457 3.457
Pb 3.457 5.771 3.457
Pb 3.457 3.457 5.771
Pb 5.771 5.771 5.771
```

Calculated values
Raw formation energy in eV per atom: 0.158
N(E_F) in states/eV/cell: 1.8

=====

(2)
NdErSc: optimized geometry, GGA-PBE.

Cell and atoms, written as extended XYZ:
```
3
Lattice="5.522 0.000 0.000 -2.761 4.782 0.000 0.000 0.000 3.403" Properties=species:S:1:pos:R:3 pbc="T T T"
Nd 0.000 0.000 0.000
Er 0.000 3.188 1.702
Sc 2.761 1.594 1.702
```

Calculated values
Formation enthalpy at 0 K in eV/atom: 0.084
N(E_F) in states/eV/cell: 4.9

=====

(3)
CePaTl: optimized geometry, GGA-PBE.

Cell and atoms, written as extended XYZ:
```
3
Lattice="5.267 0.000 0.000 -2.633 4.561 0.000 0.000 0.000 3.113" Properties=species:S:1:pos:R:3 pbc="T T T"
Ce 0.000 0.000 0.000
Pa 0.000 3.041 0.000
Tl 2.633 1.520 1.556
```

Calculated values
Formation enthalpy at 0 K in eV/atom: 0.147
N(E_F) in states/eV/cell: 6.7

=====

(4)
AgGeSe3: optimized geometry, GGA-PBE.

Cell and atoms, written as extended XYZ:
```
10
Lattice="6.517 0.000 0.000 -3.259 5.644 0.000 0.000 0.000 6.424" Properties=species:S:1:pos:R:3 pbc="T T T"
Ag 0.000 3.763 1.606
Ag 3.259 1.881 4.818
Ge 0.000 0.000 1.606
Ge 0.000 0.000 4.818
Se -1.024 1.774 3.212
Se -2.234 3.870 0.000
Se 2.048 0.000 3.212
Se 1.024 1.774 0.000
Se 4.469 0.000 0.000
Se 2.234 3.870 3.212
```

Calculated values
Raw formation energy in eV per atom: 0.022
N(E_F) in states/eV/cell: 9.3

=====

(5)
BeTlCu: optimized geometry, GGA-PBE.

Cell and atoms, written as extended XYZ:
```
3
Lattice="3.992 0.000 0.000 -1.996 3.457 0.000 0.000 0.000 3.598" Properties=species:S:1:pos:R:3 pbc="T T T"
Be 0.000 0.000 0.000
Tl 0.000 2.305 1.799
Cu 1.996 1.152 0.000
```

Calculated values
Formation enthalpy at 0 K in eV/atom: 0.481
N(E_F) in states/eV/cell: 1.1

=====

(6)
LiNd2Pu3S6: optimized geometry, GGA-PBE.

Cell and atoms, written as extended XYZ:
```
12
Lattice="3.459 -5.988 0.000 3.459 5.988 0.000 -2.312 0.000 6.505" Properties=species:S:1:pos:R:3 pbc="T T T"
Li 0.000 0.000 0.000
Nd 3.459 1.992 0.000
Nd 3.459 -1.992 0.000
Pu 2.302 3.980 3.253
Pu 2.302 0.000 3.253
Pu 2.302 -3.980 3.253
S 1.124 1.952 1.650
S -0.055 0.000 4.846
S 1.124 -1.952 1.650
S 3.480 1.952 4.856
S 4.660 0.000 1.659
S 3.480 -1.952 4.856
```

Calculated values
Raw formation energy in eV per atom: -1.800
N(E_F) in states/eV/cell: 22.8

=====

(7)
TmCdAg: optimized geometry, GGA-PBE.

Cell and atoms, written as extended XYZ:
```
6
Lattice="3.458 0.000 0.000 0.000 3.458 0.000 0.000 0.000 11.630" Properties=species:S:1:pos:R:3 pbc="T T T"
Tm 0.864 0.864 1.266
Tm 2.593 2.593 10.365
Cd 0.864 0.864 4.827
Cd 2.593 2.593 6.803
Ag 0.864 0.864 8.479
Ag 2.593 2.593 3.151
```

Calculated values
Formation enthalpy at 0 K in eV/atom: -0.123
N(E_F) in states/eV/cell: 4.1

=====

(8)
NdInF: optimized geometry, GGA-PBE.

Cell and atoms, written as extended XYZ:
```
6
Lattice="3.548 0.000 0.000 0.000 3.548 0.000 0.000 0.000 10.037" Properties=species:S:1:pos:R:3 pbc="T T T"
Nd 0.887 0.887 1.797
Nd 2.661 2.661 8.240
In 0.887 0.887 5.992
In 2.661 2.661 4.045
F 0.887 0.887 9.395
F 2.661 2.661 0.642
```

Calculated values
Raw formation energy in eV per atom: -1.754
N(E_F) in states/eV/cell: 3.7

=====

no.,calculated volume (Å³/f.u.)
1,196.5
2,89.9
3,74.8
4,118.2
5,49.7
6,269.5
7,69.5
8,63.2